# 1
SrAs2Rh | meta-GGA SCAN | single point on PBEsol structure

abc: 4.178 4.178 16.247
angles: 90.00 90.00 120.00
Fractional coordinates of all 12 atoms:
Sr: 0.000 0.000 0.000
Sr: 0.333 0.667 0.667
Sr: 0.667 0.333 0.333
As: 0.000 0.000 0.215
As: 0.000 0.000 0.785
As: 0.333 0.667 0.451
As: 0.333 0.667 0.882
As: 0.667 0.333 0.118
As: 0.667 0.333 0.549
Rh: 0.000 0.000 0.500
Rh: 0.333 0.667 0.167
Rh: 0.667 0.333 0.833

- Volume: 20.47 A^3/atom
- Density: 6.90 Mg/m³
- E: -24.985 eV/atom
- Fermi-level density of states: 5.2 states/eV per cell
- Crystal system: trigonal
- ΔE_f: -878 meV/atom
- Total magnetization: 0.00 μB per cell
- SG: R-3m (166)



# 2
SrAsRh2 | meta-GGA SCAN | single point on PBEsol structure

abc: 4.231 4.231 15.840
angles: 90.00 90.00 120.00
Fractional coordinates of all 12 atoms:
Sr: 0.000 0.000 0.000
Sr: 0.333 0.667 0.667
Sr: 0.667 0.333 0.333
As: 0.000 0.000 0.500
As: 0.333 0.667 0.167
As: 0.667 0.333 0.833
Rh: 0.000 0.000 0.198
Rh: 0.000 0.000 0.802
Rh: 0.333 0.667 0.469
Rh: 0.333 0.667 0.865
Rh: 0.667 0.333 0.135
Rh: 0.667 0.333 0.531

- Volume: 20.46 A^3/atom
- Density: 7.47 Mg/m³
- E: -28.165 eV/atom
- Fermi-level density of states: 5.2 states/eV per cell
- Crystal system: trigonal
- ΔE_f: -663 meV/atom
- Total magnetization: 0.00 μB per cell
- SG: R-3m (166)



# 3
Sr6As19Rh30 | meta-GGA SCAN | single point on PBEsol structure

abc: 16.098 16.098 3.897
angles: 90.00 90.00 120.00
Fractional coordinates of all 55 atoms:
Sr: 0.037 0.273 0.000
Sr: 0.236 0.963 0.000
Sr: 0.430 0.370 0.500
Sr: 0.630 0.060 0.500
Sr: 0.727 0.764 0.000
Sr: 0.940 0.570 0.500
As: 0.016 0.116 0.499
As: 0.078 0.550 0.999
As: 0.100 0.984 0.499
As: 0.195 0.411 0.501
As: 0.216 0.805 0.501
As: 0.271 0.234 0.999
As: 0.333 0.667 0.248
As: 0.396 0.099 0.501
As: 0.450 0.528 0.999
As: 0.472 0.922 0.999
As: 0.566 0.349 0.001
As: 0.589 0.784 0.501
As: 0.651 0.217 0.001
As: 0.704 0.604 0.501
As: 0.766 0.037 0.999
As: 0.783 0.434 0.001
As: 0.884 0.900 0.499
As: 0.901 0.296 0.501
As: 0.963 0.729 0.999
Rh: 0.058 0.442 0.501
Rh: 0.069 0.819 0.499
Rh: 0.108 0.093 0.999
Rh: 0.108 0.717 0.999
Rh: 0.181 0.251 0.499
Rh: 0.184 0.642 0.502
Rh: 0.209 0.517 0.998
Rh: 0.260 0.130 0.500
Rh: 0.283 0.392 0.999
Rh: 0.309 0.791 0.998
Rh: 0.358 0.542 0.502
Rh: 0.383 0.942 0.501
Rh: 0.407 0.203 0.000
Rh: 0.458 0.816 0.502
Rh: 0.483 0.691 0.998
Rh: 0.485 0.083 0.001
Rh: 0.558 0.240 0.501
Rh: 0.558 0.617 0.501
Rh: 0.597 0.515 0.001
Rh: 0.608 0.892 0.999
Rh: 0.681 0.442 0.501
Rh: 0.749 0.931 0.499
Rh: 0.760 0.319 0.501
Rh: 0.796 0.593 0.000
Rh: 0.797 0.204 0.000
Rh: 0.870 0.129 0.500
Rh: 0.871 0.740 0.500
Rh: 0.907 0.015 0.999
Rh: 0.917 0.403 0.001
Rh: 0.985 0.892 0.999

- Volume: 15.90 A^3/atom
- Density: 9.56 Mg/m³
- E: -28.616 eV/atom
- Fermi-level density of states: 28.4 states/eV per cell
- Crystal system: trigonal
- ΔE_f: -790 meV/atom
- Total magnetization: 0.00 μB per cell
- SG: P3 (143)



# 4
SrAsRh2 | meta-GGA SCAN | single point on PBEsol structure

abc: 4.060 4.060 5.037
angles: 90.00 90.00 90.00
Fractional coordinates of all 4 atoms:
Sr: 0.000 0.000 0.000
As: 0.500 0.500 0.288
Rh: 0.000 0.500 0.523
Rh: 0.500 0.000 0.523

- Volume: 20.76 A^3/atom
- Density: 7.37 Mg/m³
- E: -28.094 eV/atom
- Fermi-level density of states: 2.4 states/eV per cell
- Crystal system: tetragonal
- ΔE_f: -592 meV/atom
- Total magnetization: 0.00 μB per cell
- SG: P4mm (99)



Repeat the fourth record exactly.
SrAsRh2 | meta-GGA SCAN | single point on PBEsol structure

abc: 4.060 4.060 5.037
angles: 90.00 90.00 90.00
Fractional coordinates of all 4 atoms:
Sr: 0.000 0.000 0.000
As: 0.500 0.500 0.288
Rh: 0.000 0.500 0.523
Rh: 0.500 0.000 0.523

- Volume: 20.76 A^3/atom
- Density: 7.37 Mg/m³
- E: -28.094 eV/atom
- Fermi-level density of states: 2.4 states/eV per cell
- Crystal system: tetragonal
- ΔE_f: -592 meV/atom
- Total magnetization: 0.00 μB per cell
- SG: P4mm (99)



- The highest density belongs to which entry?
  Sr6As19Rh30